1.
Density functional theory data (GGA-PBE) for crystalline LaYAl2Bi at its relaxed geometry.

## Properties
energy: -3.830 eV/atom
DOS at the Fermi energy: 4.75 states/eV per cell
energy relative to the elements: 3.61 eV/f.u.

Unit cell a=5.462 b=5.462 c=5.697 alpha=90.00 beta=90.00 gamma=90.00
Space group P4/mmm (No. 123)
Unique sites:
1 La 0.000 0.000 0.000 x1
2 Y 0.000 0.000 0.500 x1
3 Al 0.000 0.500 0.500 x2
4 Bi 0.500 0.500 0.000 x1



2.
Density functional theory data (GGA-PBE) for crystalline Li2AlBi at its relaxed geometry.

## Properties
energy: -3.091 eV/atom
DOS at the Fermi energy: 1.32 states/eV per cell
energy relative to the elements: -0.91 eV/f.u.

Unit cell a=4.331 b=4.331 c=4.301 alpha=90.00 beta=90.00 gamma=90.00
Space group P4/mmm (No. 123)
Unique sites:
1 Li 0.000 0.500 0.000 x2
2 Al 0.000 0.000 0.500 x1
3 Bi 0.500 0.500 0.500 x1



Question: Among the records above, which one has the lowest energy?
Answer: LaYAl2Bi